# 1
# GGA-PBE PmTl3P2O8, relaxed
# **M_tot**: 0.000 μB per atom
# **Volume**: 243.1 Å³ per cell
# **Formation energy (no corrections)**: -204.8 kJ per mole of atoms
data_PmTl3P2O8
_chemical_formula_sum 'Pm1 Tl3 P2 O8'
_cell_length_a 5.8083
_cell_length_b 5.8083
_cell_length_c 8.3197
_cell_angle_alpha 90.00
_cell_angle_beta 90.00
_cell_angle_gamma 120.00
_space_group_name_H-M_alt 'P -3 m 1'
_space_group_IT_number 164
_space_group_name_Hall '-P 3 2"'
loop_
_atom_site_label
_atom_site_type_symbol
_atom_site_fract_x
_atom_site_fract_y
_atom_site_fract_z
_atom_site_occupancy
Pm1 Pm 0.0000 0.0000 0.0000 1
Tl1 Tl 0.0000 0.0000 0.5000 1
Tl2 Tl 0.3333 0.6667 0.2723 1
P1 P 0.3333 0.6667 0.7690 1
O1 O 0.1871 0.3742 0.8332 1
O2 O 0.3333 0.6667 0.5841 1

=====

# 2
# GGA-PBE PmTl2P2O6, relaxed
# **M_tot**: 0.000 μB per atom
# **Volume**: 363.5 Å³ per cell
# **Formation energy (no corrections)**: -191.6 kJ per mole of atoms
data_PmTl2P2O6
_chemical_formula_sum 'Pm2 Tl4 P4 O12'
_cell_length_a 10.675
_cell_length_b 6.157
_cell_length_c 6.581
_cell_angle_alpha 90.00
_cell_angle_beta 122.82
_cell_angle_gamma 90.00
_space_group_name_H-M_alt 'C 1 2/m 1'
_space_group_IT_number 12
loop_
_space_group_symop_operation_xyz
'x,y,z'
'-x,-y,-z'
'-x,y,-z'
'x,-y,z'
'x+1/2,y+1/2,z'
'-x+1/2,-y+1/2,-z'
'-x+1/2,y+1/2,-z'
'x+1/2,-y+1/2,z'
loop_
_atom_site_label
_atom_site_type_symbol
_atom_site_fract_x
_atom_site_fract_y
_atom_site_fract_z
_atom_site_occupancy
Pm1 Pm 0.000 0.000 0.000 1
Tl1 Tl 0.220 0.000 0.659 1
P1 P 0.068 0.500 0.703 1
O1 O 0.024 0.291 0.781 1
O2 O 0.233 0.500 0.783 1

=====

# 3
# GGA-PBE PmTmP2O8, relaxed
# **M_tot**: 0.000 μB per atom
# **Volume**: 167.8 Å³ per cell
# **Formation energy (no corrections)**: -281.4 kJ per mole of atoms
data_PmTmP2O8
_chemical_formula_sum 'Pm1 Tm1 P2 O8'
_cell_length_a 5.2472
_cell_length_b 5.2472
_cell_length_c 7.0369
_cell_angle_alpha 90.00
_cell_angle_beta 90.00
_cell_angle_gamma 120.00
_space_group_name_H-M_alt 'P -3 m 1'
_space_group_IT_number 164
_space_group_name_Hall '-P 3 2"'
loop_
_atom_site_label
_atom_site_type_symbol
_atom_site_fract_x
_atom_site_fract_y
_atom_site_fract_z
_atom_site_occupancy
Pm1 Pm 0.0000 0.0000 0.0000 1
Tm1 Tm 0.0000 0.0000 0.5000 1
P1 P 0.3333 0.6667 0.7945 1
O1 O 0.1727 0.3453 0.7190 1
O2 O 0.3333 0.6667 0.0116 1

=====

# 4
# GGA-PBE Pm2TmPO8, relaxed
# **M_tot**: 0.168 μB per atom
# **Volume**: 144.5 Å³ per cell
# **Formation energy (no corrections)**: -228.9 kJ per mole of atoms
data_Pm2TmPO8
_chemical_formula_sum 'Pm2 Tm1 P1 O8'
_cell_length_a 5.2241
_cell_length_b 5.2241
_cell_length_c 6.1133
_cell_angle_alpha 90.00
_cell_angle_beta 90.00
_cell_angle_gamma 120.00
_space_group_name_H-M_alt 'P -3 m 1'
_space_group_IT_number 164
_space_group_name_Hall '-P 3 2"'
loop_
_atom_site_label
_atom_site_type_symbol
_atom_site_fract_x
_atom_site_fract_y
_atom_site_fract_z
_atom_site_occupancy
Pm1 Pm 0.3333 0.6667 0.3635 1
Tm1 Tm 0.0000 0.0000 0.0000 1
P1 P 0.0000 0.0000 0.5000 1
O1 O 0.1522 0.3045 0.6666 1
O2 O 0.3333 0.6667 0.0178 1

=====

Question: volume of number 4 (Pm2TmPO8)?
Answer: 144.5 Å³ per cell

=====

Question: Look up the M_tot of the first one.
Answer: 0.000 μB per atom

=====

Question: volume of number 4 (Pm2TmPO8)?
Answer: 144.5 Å³ per cell